# PBE+U AcCrO4F, optimized geometry
data_AcCrO4F
_space_group_name_H-M_alt 'P 1 21/m 1'
_space_group_IT_number 11
_space_group_name_Hall '-P 2yb'
_cell_length_a 4.7746
_cell_length_b 6.8846
_cell_length_c 7.1537
_cell_angle_alpha 90.00
_cell_angle_beta 101.76
_cell_angle_gamma 90.00
loop_
_atom_site_label
_atom_site_fract_x
_atom_site_fract_y
_atom_site_fract_z
_atom_site_occupancy
Ac1 0.0452 0.2500 0.1910 1
Cr1 0.3141 0.2500 0.7827 1
O1 0.1594 0.2500 0.5545 1
O2 0.2092 0.0616 0.9012 1
O3 0.3373 0.7500 0.1870 1
F1 0.4372 0.7500 0.7215 1
# Magnetization = 0.0 μB/f.u.
# Calculated total energy = -7.12 eV/atom
# Volume = 230.2 Å³ per cell